(1)
The following is a PBE-GGA calculation of crystalline BaZrSe2O8 at its relaxed geometry, from Alexandria.

Properties
For the formation energy from raw total energies, the calculation gives -1.6419 eV/atom. The density of states at the Fermi level comes out at 2.849 states/eV/f.u.

Unit cell a=5.1695 b=5.1695 c=8.0294 alpha=91.19 beta=91.19 gamma=75.00
Positions (direct):
Ba 0.0000 0.0000 0.0000
Zr 0.0000 0.0000 0.5000
Se 0.4025 0.4025 0.7125
Se 0.5975 0.5975 0.2875
O 0.1738 0.7522 0.7003
O 0.2478 0.8262 0.2997
O 0.2544 0.2544 0.5577
O 0.3170 0.3170 0.9008
O 0.6830 0.6830 0.0992
O 0.7456 0.7456 0.4423
O 0.7522 0.1738 0.7003
O 0.8262 0.2478 0.2997

(2)
The following is a PBE-GGA calculation of crystalline Sr2PuCu2Se4 at its relaxed geometry, from Alexandria.

Properties
For the formation energy from raw total energies, the calculation gives -1.1931 eV/atom. The density of states at the Fermi level comes out at 13.450 states/eV/f.u.

Unit cell a=7.8716 b=7.8716 c=7.4941 alpha=110.10 beta=110.10 gamma=30.08
Positions (direct):
Sr 0.1332 0.1332 0.0732
Sr 0.8668 0.8668 0.9268
Pu 0.0000 0.0000 0.5000
Cu 0.3128 0.3128 0.5026
Cu 0.6872 0.6872 0.4974
Se 0.2085 0.2085 0.7122
Se 0.4741 0.4741 0.7554
Se 0.5259 0.5259 0.2446
Se 0.7915 0.7915 0.2878

(3)
The following is a PBE-GGA calculation of crystalline AcPrDyCd at its relaxed geometry, from Alexandria.

Properties
As for the formation energy: 53 meV/atom. The density of states at the Fermi level comes out at 6.486 states/eV/f.u.

Unit cell a=5.6952 b=5.6952 c=5.6952 alpha=60.00 beta=60.00 gamma=60.00
Positions (direct):
Ac 0.0000 0.0000 0.0000
Pr 0.7500 0.7500 0.7500
Dy 0.2500 0.2500 0.2500
Cd 0.5000 0.5000 0.5000

(4)
The following is a PBE-GGA calculation of crystalline BaCaSbF2 at its relaxed geometry, from Alexandria.

Properties
For the formation energy from raw total energies, the calculation gives -2.5972 eV/atom. The density of states at the Fermi level comes out at 1.772 states/eV/f.u.

Unit cell a=7.0910 b=7.0910 c=7.4048 alpha=90.00 beta=90.00 gamma=139.15
Positions (direct):
Ba 0.2259 0.7741 0.7500
Ba 0.7741 0.2259 0.2500
Ca 0.5000 0.5000 0.0000
Ca 0.5000 0.5000 0.5000
Sb 0.0446 0.9554 0.2500
Sb 0.9554 0.0446 0.7500
F 0.3307 0.6693 0.0543
F 0.3307 0.6693 0.4457
F 0.6693 0.3307 0.5543
F 0.6693 0.3307 0.9457

(5)
The following is a PBE-GGA calculation of crystalline LaAg2Pd2 at its relaxed geometry, from Alexandria.

Properties
As for the formation energy: -346 meV/atom. The density of states at the Fermi level comes out at 2.087 states/eV/f.u.

Unit cell a=7.5144 b=7.5144 c=3.5812 alpha=90.00 beta=90.00 gamma=90.00
Positions (direct):
La 0.0000 0.0000 0.0000
La 0.5000 0.5000 0.0000
Ag 0.1490 0.3510 0.5000
Ag 0.3510 0.8510 0.5000
Ag 0.6490 0.1490 0.5000
Ag 0.8510 0.6490 0.5000
Pd 0.1435 0.6435 0.0000
Pd 0.3565 0.1435 0.0000
Pd 0.6435 0.8565 0.0000
Pd 0.8565 0.3565 0.0000

(6)
The following is a PBE-GGA calculation of crystalline Sr4Sb2H at its relaxed geometry, from Alexandria.

Properties
Its final energy is -3.473 eV/atom. The density of states at the Fermi level comes out at 2.571 states/eV/f.u.

Unit cell a=9.5953 b=9.5953 c=9.5953 alpha=149.82 beta=149.82 gamma=43.20
Positions (direct):
Sr 0.0000 0.5000 0.5000
Sr 0.1779 0.1779 0.0000
Sr 0.5000 0.0000 0.5000
Sr 0.8221 0.8221 0.0000
Sb 0.3662 0.3662 0.0000
Sb 0.6338 0.6338 0.0000
H 0.0000 0.0000 0.0000

(7)
The following is a PBE-GGA calculation of crystalline ReIrW2 at its relaxed geometry, from Alexandria.

Properties
As for the formation energy: 31 meV/atom. The density of states at the Fermi level comes out at 3.273 states/eV/f.u.

Unit cell a=4.8260 b=4.8260 c=4.8818 alpha=99.28 beta=99.28 gamma=33.48
Positions (direct):
Re 0.0000 0.0000 0.0000
Ir 0.5000 0.5000 0.5000
W 0.2465 0.2465 0.7473
W 0.7535 0.7535 0.2527

(8)
The following is a PBE-GGA calculation of crystalline Tm3Th5P8 at its relaxed geometry, from Alexandria.

Properties
As for the formation energy: -1558 meV/atom. The density of states at the Fermi level comes out at 7.714 states/eV/f.u.

Unit cell a=8.1331 b=8.1331 c=8.1331 alpha=60.24 beta=60.24 gamma=60.24
Positions (direct):
Tm 0.0000 0.5000 0.5000
Tm 0.5000 0.0000 0.5000
Tm 0.5000 0.5000 0.0000
Th 0.0000 0.0000 0.0000
Th 0.0000 0.0000 0.5000
Th 0.0000 0.5000 0.0000
Th 0.5000 0.0000 0.0000
Th 0.5000 0.5000 0.5000
P 0.2500 0.2500 0.7419
P 0.2500 0.7419 0.2500
P 0.2536 0.2536 0.2536
P 0.2581 0.7500 0.7500
P 0.7419 0.2500 0.2500
P 0.7464 0.7464 0.7464
P 0.7500 0.2581 0.7500
P 0.7500 0.7500 0.2581

(9)
The following is a PBE-GGA calculation of crystalline LiCaSb2 at its relaxed geometry, from Alexandria.

Properties
For the formation energy from raw total energies, the calculation gives -0.4678 eV/atom. The density of states at the Fermi level comes out at 2.122 states/eV/f.u.

Unit cell a=9.3227 b=9.3227 c=9.3227 alpha=22.65 beta=22.65 gamma=22.65
Positions (direct):
Li 0.0000 0.0000 0.0000
Ca 0.5000 0.5000 0.5000
Sb 0.2557 0.2557 0.2557
Sb 0.7443 0.7443 0.7443

no.,ρ (Mg/m³)
1,4.1
2,6.6
3,8.2
4,4.6
5,9.3
6,4.4
7,20.0
8,8.3
9,4.6